Record 1
## TlCu2Te2 (PBE-GGA)

Data for a relaxed structure of TlCu2Te2.

Crystal system: tetragonal
Total magnetization (μB/f.u.): 0.0
Final energy (eV per atom): -3.5246
SG: I4/mmm, No. 139

Unit cell a=4.0256 b=4.0256 c=8.3307 alpha=76.02 beta=76.02 gamma=90.00
Atoms (fractional coordinates):
Te: 0.6410 0.6410 0.7180
Tl: 0.0000 0.0000 0.0000
Cu: 0.2500 0.7500 0.5000
Cu: 0.7500 0.2500 0.5000
Te: 0.3590 0.3590 0.2820

Record 2
## Tl3Cu4Te4 (PBE-GGA)

Data for a relaxed structure of Tl3Cu4Te4.

Crystal system: orthorhombic
Total magnetization (μB/f.u.): 0.0
Final energy (eV per atom): -3.4011
SG: Amm2, No. 38

Unit cell a=4.2255 b=8.6813 c=8.6039 alpha=90.00 beta=90.00 gamma=104.08
Atoms (fractional coordinates):
Cu: 0.0938 0.1877 0.7517
Te: 0.6884 0.3767 0.2705
Cu: 0.0938 0.1877 0.2483
Te: 0.9983 0.9966 0.0000
Cu: 0.5864 0.1727 0.5000
Te: 0.9927 0.9855 0.5000
Te: 0.6884 0.3767 0.7295
Tl: 0.2470 0.4940 0.0000
Cu: 0.6007 0.2014 0.0000
Tl: 0.4045 0.8090 0.2538
Tl: 0.4045 0.8090 0.7462

Record 3
## Tl2CuTe3 (PBE-GGA)

Data for a relaxed structure of Tl2CuTe3.

Crystal system: orthorhombic
Total magnetization (μB/f.u.): 0.0
Final energy (eV per atom): -3.1897
SG: Pnma, No. 62

Unit cell a=4.1065 b=9.4995 c=20.1882 alpha=90.00 beta=90.00 gamma=90.00
Atoms (fractional coordinates):
Tl: 0.7500 0.3985 0.3986
Te: 0.2500 0.6273 0.1404
Tl: 0.7500 0.8145 0.3123
Te: 0.2500 0.2107 0.5192
Tl: 0.7500 0.3145 0.1877
Tl: 0.7500 0.8985 0.1014
Te: 0.7500 0.9601 0.7766
Cu: 0.2500 0.4567 0.0358
Tl: 0.2500 0.6855 0.8123
Te: 0.2500 0.5399 0.2766
Tl: 0.2500 0.1855 0.6877
Te: 0.2500 0.7107 0.9808
Te: 0.7500 0.2893 0.0192
Cu: 0.7500 0.0433 0.5358
Te: 0.7500 0.7893 0.4808
Te: 0.2500 0.1273 0.3596
Te: 0.7500 0.4601 0.7234
Cu: 0.7500 0.5433 0.9642
Tl: 0.2500 0.6015 0.6014
Te: 0.2500 0.0399 0.2234
Cu: 0.2500 0.9567 0.4642
Te: 0.7500 0.3727 0.8596
Tl: 0.2500 0.1015 0.8986
Te: 0.7500 0.8727 0.6404